[1]
# InSb2S4Br, relaxed, DFT GGA-PBEsol
# Formation energy without anion corrections = -0.44 eV per atom
# Total DFT energy (no corrections) = -4.38 eV per atom
# Total magnetic moment = 0.0 μB/cell
data_InSb2S4Br
_chemical_formula_sum 'In2 Sb4 S8 Br2'
_space_group_name_H-M_alt 'C 1 2/m 1'
_space_group_IT_number 12
_space_group_name_Hall '-C 2y'
_cell_length_a 12.337
_cell_length_b 3.841
_cell_length_c 8.238
_cell_angle_alpha 90.00
_cell_angle_beta 113.39
_cell_angle_gamma 90.00
loop_
_atom_site_label
_atom_site_type_symbol
_atom_site_fract_x
_atom_site_fract_y
_atom_site_fract_z
In1 In 0.000 0.000 0.000
Sb1 Sb 0.212 0.000 0.730
S1 S 0.128 0.500 0.946
S2 S 0.163 0.000 0.321
Br1 Br 0.000 0.500 0.500

***

[2]
# Ba3LiAu, relaxed, DFT GGA-PBEsol
# D(E_F) = 3.6 states/eV per cell
# Total DFT energy (no corrections) = -2.66 eV per atom
# Total magnetic moment = 0.0 μB/cell
data_Ba3LiAu
_chemical_formula_sum 'Ba3 Li1 Au1'
_space_group_name_H-M_alt 'P m -3 m'
_space_group_IT_number 221
_space_group_name_Hall '-P 4 2 3'
_cell_length_a 6.327
_cell_length_b 6.327
_cell_length_c 6.327
_cell_angle_alpha 90.00
_cell_angle_beta 90.00
_cell_angle_gamma 90.00
loop_
_atom_site_label
_atom_site_type_symbol
_atom_site_fract_x
_atom_site_fract_y
_atom_site_fract_z
Ba1 Ba 0.000 0.000 0.500
Li1 Li 0.500 0.500 0.500
Au1 Au 0.000 0.000 0.000

***

[3]
# ReSi3Pb, relaxed, DFT GGA-PBEsol
# Formation energy without anion corrections = 2.55 eV per atom
# D(E_F) = 4.7 states/eV per cell
# Total DFT energy (no corrections) = -4.37 eV per atom
# Total magnetic moment = 3.4 μB/cell
data_ReSi3Pb
_chemical_formula_sum 'Re1 Si3 Pb1'
_space_group_name_H-M_alt 'P m -3 m'
_space_group_IT_number 221
_space_group_name_Hall '-P 4 2 3'
_cell_length_a 5.051
_cell_length_b 5.051
_cell_length_c 5.051
_cell_angle_alpha 90.00
_cell_angle_beta 90.00
_cell_angle_gamma 90.00
loop_
_atom_site_label
_atom_site_type_symbol
_atom_site_fract_x
_atom_site_fract_y
_atom_site_fract_z
Re1 Re 0.000 0.000 0.000
Si1 Si 0.000 0.500 0.500
Pb1 Pb 0.500 0.500 0.500